4
Lattice="0.000 3.876 3.876 3.876 0.000 3.876 3.876 3.876 0.000" Properties=species:S:1:pos:R:3 comment="NaPuBiPb, relaxed, DFT GGA-PBE" delta_e_f_mev_per_atom=-163 spacegroup="No. 216" density_g_cm3=9.741 dft_energy_ev_per_atom=-5.97 pbc="T T T"
Na 0.000 0.000 0.000
Pu 3.876 3.876 3.876
Bi 5.814 5.814 5.814
Pb 1.938 1.938 1.938